Compound: Ti5GaO
Source: Alexandria
Functional: PBE-GGA
Structure: relaxed

The total magnetization is 0.0 μB per formula unit. For the energy, the calculation gives -7.62 eV per atom. The formation energy from raw total energies comes out at -5.86 eV/f.u.

a = 9.214 Å, b = 5.539 Å, c = 8.831 Å
α = 90.00°, β = 111.55°, γ = 90.00°
Space group C2/c (No. 15)
One atom of each set of equivalent atoms:
Ti 0.000 0.037 0.250 (multiplicity 4)
Ti 0.125 0.311 0.046 (multiplicity 8)
Ti 0.199 0.200 0.628 (multiplicity 8)
Ga 0.000 0.478 0.750 (multiplicity 4)
O 0.000 0.000 0.000 (multiplicity 4)